1.
The following is a meta-GGA SCAN calculation of a crystal of BeNiIO2 relaxed with PBEsol, from Alexandria.

```
data_BeNiIO2
_chemical_formula_sum 'Be1 Ni1 I1 O2'
_cell_length_a 3.4293
_cell_length_b 3.4293
_cell_length_c 6.1033
_cell_angle_alpha 90.00
_cell_angle_beta 90.00
_cell_angle_gamma 90.00
_space_group_name_H-M_alt 'P 4/m m m'
_space_group_IT_number 123
_space_group_name_Hall '-P 4 2'
loop_
_atom_site_label
_atom_site_fract_x
_atom_site_fract_y
_atom_site_fract_z
Be1 0.0000 0.0000 0.0000
Ni1 0.5000 0.5000 0.5000
I1 0.0000 0.0000 0.5000
O1 0.0000 0.5000 0.0000
```

Properties
For the density of states at the Fermi level, the calculation gives 3.26 states/eV per cell. The calculation puts the final energy at -14.24 eV per atom.

2.
The following is a meta-GGA SCAN calculation of a crystal of LiBr2N relaxed with PBEsol, from Alexandria.

```
data_LiBr2N
_chemical_formula_sum 'Li4 Br8 N4'
_cell_length_a 5.2984
_cell_length_b 5.2984
_cell_length_c 12.6321
_cell_angle_alpha 90.00
_cell_angle_beta 90.00
_cell_angle_gamma 90.00
_space_group_name_H-M_alt 'I -4 2 d'
_space_group_IT_number 122
_space_group_name_Hall 'I -4 2bw'
loop_
_atom_site_label
_atom_site_fract_x
_atom_site_fract_y
_atom_site_fract_z
Li1 0.0000 0.0000 0.0000
Br1 0.1597 0.2500 0.6250
N1 0.0000 0.0000 0.5000
```

Properties
For the density of states at the Fermi level, the calculation gives 4.08 states/eV per cell. The calculation puts the final energy at -12.17 eV per atom.

3.
The following is a meta-GGA SCAN calculation of a crystal of Tc2TeIr relaxed with PBEsol, from Alexandria.

```
data_Tc2TeIr
_chemical_formula_sum 'Tc2 Te1 Ir1'
_cell_length_a 2.9854
_cell_length_b 2.9854
_cell_length_c 6.9476
_cell_angle_alpha 90.00
_cell_angle_beta 90.00
_cell_angle_gamma 90.00
_space_group_name_H-M_alt 'P 4/m m m'
_space_group_IT_number 123
_space_group_name_Hall '-P 4 2'
loop_
_atom_site_label
_atom_site_fract_x
_atom_site_fract_y
_atom_site_fract_z
Tc1 0.0000 0.0000 0.2485
Te1 0.5000 0.5000 0.0000
Ir1 0.5000 0.5000 0.5000
```

Properties
For the density of states at the Fermi level, the calculation gives 5.06 states/eV per cell. The calculation puts the final energy at -44.20 eV per atom.

4.
The following is a meta-GGA SCAN calculation of a crystal of TiAuICl2 relaxed with PBEsol, from Alexandria.

```
data_TiAuICl2
_chemical_formula_sum 'Ti1 Au1 I1 Cl2'
_cell_length_a 4.8741
_cell_length_b 4.8741
_cell_length_c 5.7471
_cell_angle_alpha 90.00
_cell_angle_beta 90.00
_cell_angle_gamma 90.00
_space_group_name_H-M_alt 'P 4/m m m'
_space_group_IT_number 123
_space_group_name_Hall '-P 4 2'
loop_
_atom_site_label
_atom_site_fract_x
_atom_site_fract_y
_atom_site_fract_z
Ti1 0.0000 0.0000 0.0000
Au1 0.5000 0.5000 0.5000
I1 0.5000 0.5000 0.0000
Cl1 0.0000 0.5000 0.5000
```

Properties
For the density of states at the Fermi level, the calculation gives 3.49 states/eV per cell. The calculation puts the final energy at -27.58 eV per atom.

5.
The following is a meta-GGA SCAN calculation of a crystal of KCr3Hg relaxed with PBEsol, from Alexandria.

```
data_KCr3Hg
_chemical_formula_sum 'K1 Cr3 Hg1'
_cell_length_a 5.2375
_cell_length_b 5.2375
_cell_length_c 5.2375
_cell_angle_alpha 90.00
_cell_angle_beta 90.00
_cell_angle_gamma 90.00
_space_group_name_H-M_alt 'P m -3 m'
_space_group_IT_number 221
_space_group_name_Hall '-P 4 2 3'
loop_
_atom_site_label
_atom_site_fract_x
_atom_site_fract_y
_atom_site_fract_z
K1 0.0000 0.0000 0.0000
Cr1 0.0000 0.0000 0.5000
Hg1 0.5000 0.5000 0.5000
```

Properties
The calculated formation energy comes out at 1888 meV per atom. For the density of states at the Fermi level, the calculation gives 2.38 states/eV per cell.

6.
The following is a meta-GGA SCAN calculation of a crystal of Ca2CrTe relaxed with PBEsol, from Alexandria.

```
data_Ca2CrTe
_chemical_formula_sum 'Ca2 Cr1 Te1'
_cell_length_a 4.1999
_cell_length_b 4.1999
_cell_length_c 6.3955
_cell_angle_alpha 90.00
_cell_angle_beta 90.00
_cell_angle_gamma 90.00
_space_group_name_H-M_alt 'P 4 m m'
_space_group_IT_number 99
_space_group_name_Hall 'P 4 -2'
loop_
_atom_site_label
_atom_site_fract_x
_atom_site_fract_y
_atom_site_fract_z
Ca1 0.0000 0.0000 0.0000
Ca2 0.5000 0.5000 0.3332
Cr1 0.0000 0.0000 0.5059
Te1 0.5000 0.5000 0.8199
```

Properties
For the density of states at the Fermi level, the calculation gives 1.89 states/eV per cell. The calculation puts the final energy at -19.14 eV per atom.

7.
The following is a meta-GGA SCAN calculation of a crystal of ScPtRh relaxed with PBEsol, from Alexandria.

```
data_ScPtRh
_chemical_formula_sum 'Sc2 Pt2 Rh2'
_cell_length_a 3.1285
_cell_length_b 3.1285
_cell_length_c 9.6985
_cell_angle_alpha 90.00
_cell_angle_beta 90.00
_cell_angle_gamma 90.00
_space_group_name_H-M_alt 'I 4 m m'
_space_group_IT_number 107
_space_group_name_Hall 'I 4 -2'
loop_
_atom_site_label
_atom_site_fract_x
_atom_site_fract_y
_atom_site_fract_z
Sc1 0.0000 0.0000 0.0000
Pt1 0.0000 0.0000 0.3346
Rh1 0.0000 0.0000 0.6522
```

Properties
The calculated formation energy comes out at -777 meV per atom. For the density of states at the Fermi level, the calculation gives 4.09 states/eV per cell.

8.
The following is a meta-GGA SCAN calculation of a crystal of Na3Cu2O4 relaxed with PBEsol, from Alexandria.

```
data_Na3Cu2O4
_chemical_formula_sum 'Na6 Cu4 O8'
_cell_length_a 10.7563
_cell_length_b 2.8451
_cell_length_c 7.8381
_cell_angle_alpha 90.00
_cell_angle_beta 114.93
_cell_angle_gamma 90.00
_space_group_name_H-M_alt 'C 1 2/m 1'
_space_group_IT_number 12
_space_group_name_Hall '-C 2y'
loop_
_atom_site_label
_atom_site_fract_x
_atom_site_fract_y
_atom_site_fract_z
Na1 0.0000 0.0000 0.0000
Na2 0.1166 0.5000 0.3959
Cu1 0.1854 0.0000 0.7868
O1 0.0920 0.5000 0.8400
O2 0.2311 0.0000 0.2872
```

Properties
For the density of states at the Fermi level, the calculation gives 6.47 states/eV per cell. The calculation puts the final energy at -8.77 eV per atom.

no.,volume (Å³ per atom)
1,14.36
2,22.16
3,15.48
4,27.31
5,28.73
6,28.20
7,15.82
8,12.08